Computed, not measured: a relaxed Pr2TmPaSb4 crystal at the PBE level of DFT.

Output
E = -5.975 eV per atom

Structure (CIF):
```
data_Pr2TmPaSb4
_chemical_formula_sum 'Pr2 Tm1 Pa1 Sb4'
_cell_length_a 7.681
_cell_length_b 4.452
_cell_length_c 7.742
_cell_angle_alpha 90.00
_cell_angle_beta 109.38
_cell_angle_gamma 90.00
_symmetry_space_group_name_H-M 'P 1 2/m 1'
_symmetry_Int_Tables_number 10
loop_
_symmetry_equiv_pos_as_xyz
'x,y,z'
'-x,-y,-z'
'-x,y,-z'
'x,-y,z'
loop_
_atom_site_label
_atom_site_type_symbol
_atom_site_fract_x
_atom_site_fract_y
_atom_site_fract_z
Pr1 Pr 0.000 0.000 0.000
Pr2 Pr 0.500 0.500 0.000
Tm1 Tm 0.000 0.500 0.500
Pa1 Pa 0.500 0.000 0.500
Sb1 Sb 0.245 0.000 0.735
Sb2 Sb 0.253 0.500 0.263
```

***

Computed, not measured: a relaxed AlTc2Ni crystal at the PBE level of DFT.

Output
ΔE_f = -0.145 eV per atom

Structure (CIF):
```
data_AlTc2Ni
_chemical_formula_sum 'Al3 Tc6 Ni3'
_cell_length_a 2.7462
_cell_length_b 2.7462
_cell_length_c 25.3070
_cell_angle_alpha 90.00
_cell_angle_beta 90.00
_cell_angle_gamma 120.00
_symmetry_space_group_name_H-M 'R 3 m'
_symmetry_Int_Tables_number 160
_symmetry_space_group_name_Hall 'R 3 -2"'
loop_
_atom_site_label
_atom_site_type_symbol
_atom_site_fract_x
_atom_site_fract_y
_atom_site_fract_z
Al1 Al 0.0000 0.0000 0.0000
Tc1 Tc 0.0000 0.0000 0.5040
Tc2 Tc 0.0000 0.0000 0.7544
Ni1 Ni 0.0000 0.0000 0.2570
```

***

Computed, not measured: a relaxed ErUIrRh crystal at the PBE level of DFT.

Output
ΔE_f = -0.609 eV per atom

Structure (CIF):
```
data_ErUIrRh
_chemical_formula_sum 'Er4 U4 Ir4 Rh4'
_cell_length_a 6.826
_cell_length_b 6.826
_cell_length_c 6.826
_cell_angle_alpha 90.00
_cell_angle_beta 90.00
_cell_angle_gamma 90.00
_symmetry_space_group_name_H-M 'F -4 3 m'
_symmetry_Int_Tables_number 216
_symmetry_space_group_name_Hall 'F -4 2 3'
loop_
_atom_site_label
_atom_site_type_symbol
_atom_site_fract_x
_atom_site_fract_y
_atom_site_fract_z
Er1 Er 0.000 0.000 0.000
U1 U 0.000 0.000 0.500
Ir1 Ir 0.250 0.250 0.250
Rh1 Rh 0.250 0.250 0.750
```

***

Computed, not measured: a relaxed HfNiOs2 crystal at the PBE level of DFT.

Output
ΔE_f = 0.071 eV per atom
distance to the lowest polymorph of the same formula = 0 kJ/mol of formula units

Structure (CIF):
```
data_HfNiOs2
_chemical_formula_sum 'Hf4 Ni4 Os8'
_cell_length_a 6.229
_cell_length_b 6.229
_cell_length_c 6.229
_cell_angle_alpha 90.00
_cell_angle_beta 90.00
_cell_angle_gamma 90.00
_symmetry_space_group_name_H-M 'F m -3 m'
_symmetry_Int_Tables_number 225
_symmetry_space_group_name_Hall '-F 4 2 3'
loop_
_atom_site_label
_atom_site_type_symbol
_atom_site_fract_x
_atom_site_fract_y
_atom_site_fract_z
Hf1 Hf 0.000 0.000 0.000
Ni1 Ni 0.000 0.000 0.500
Os1 Os 0.250 0.250 0.250
```

***

- Which formula does entry 4 have?
  HfNiOs2